No. 1
Below is a relaxed SiSe2Br crystal, with properties calculated at the GGA-PBE level.

Summary:
Formation energy from raw total energies, meV/atom: 333

a = 4.020 Å, b = 4.020 Å, c = 8.473 Å
α = 90.00°, β = 90.00°, γ = 121.94°
Positions (direct):
Si  0.000  0.000  0.000
Se  0.000  0.000  0.622
Se  0.500  0.500  0.809
Br  0.500  0.500  0.213

***

No. 2
Below is a relaxed Ta3RuPt crystal, with properties calculated at the GGA-PBE level.

Summary:
Formation energy, eV per formula unit: 7.38

a = 4.808 Å, b = 4.808 Å, c = 4.808 Å
α = 90.00°, β = 90.00°, γ = 90.00°
Positions (direct):
Ta  0.000  0.000  0.500
Ta  0.000  0.500  0.000
Ta  0.500  0.000  0.000
Ru  0.500  0.500  0.500
Pt  0.000  0.000  0.000

***

Number 1: magnetization 0.00 μB per cell. Number 2: magnetization 0.00 μB per cell.